CaYMg2 at its PBEsol-relaxed geometry, computed with SCAN.

abc: 6.5277 6.5277 6.5277
angles: 147.52 129.66 61.19
Fractional positions:
Ca  0.0000  0.0000  0.0000
Y  0.7146  0.2146  0.5000
Mg  0.2553  0.7553  0.5000
Mg  0.4671  0.4671  0.0000

Results
The density of states at the Fermi level comes out at 3.24 states/eV/cell. The formation energy from the elements comes out at -0.10 eV/f.u. Its total DFT energy (no corrections) is -11.888 eV per atom.